! KNaTc PBE-GGA relaxed; values from VASP
! relative energy among the computed polymorphs = 0.0000 eV/atom
! space-group type = F-43m, No. 216
! spin magnetization = 3.2 μB/cell
&SYSTEM
  ibrav = 0, nat = 3, ntyp = 3
/
ATOMIC_SPECIES
K 39.10 K.upf
Na 22.99 Na.upf
Tc 98.00 Tc.upf
CELL_PARAMETERS angstrom
0.000 3.877 3.877
3.877 0.000 3.877
3.877 3.877 0.000
ATOMIC_POSITIONS crystal
K 0.000 0.000 0.000
Na 0.500 0.500 0.500
Tc 0.250 0.250 0.250